A relaxed PPb4Cl crystal. Source: Alexandria via LeMat-Bulk, functional PBE.

Calculated values
Volume, Å³/cell: 185
Space group: F-43m (216)
Total moment, μB per atom: 0.0000
DOS at the Fermi energy, states/eV per cell: 3.9
ΔE_f (raw), eV/f.u.: 2.26
Raw total energy, eV per atom: -3.3048

Unit cell a=6.392 b=6.392 c=6.392 alpha=60.00 beta=60.00 gamma=60.00
Fractional positions:
Pb  0.374  0.374  0.374
Pb  0.374  0.877  0.374
Pb  0.877  0.374  0.374
Pb  0.374  0.374  0.877
Cl  0.750  0.750  0.750
P  0.000  0.000  0.000

A relaxed PPbCl crystal. Source: Alexandria via LeMat-Bulk, functional PBE.

Calculated values
Volume, Å³/cell: 79
Space group: I4mm (107)
E above lowest polymorph, meV per atom: 523
Total moment, μB per atom: 0.0000
DOS at the Fermi energy, states/eV per cell: 2.5
ΔE_f (raw), eV/f.u.: 0.60
Raw total energy, eV per atom: -3.4544

Unit cell a=7.225 b=7.225 c=3.396 alpha=76.39 beta=76.42 gamma=27.19
Fractional positions:
Cl  0.028  0.028  0.972
Pb  0.665  0.665  0.335
P  0.306  0.306  0.694

A relaxed PPb3Cl3 crystal. Source: Alexandria via LeMat-Bulk, functional PBE.

Calculated values
Volume, Å³/cell: 450
Space group: P2_1/m (11)
Total moment, μB per atom: 0.0000
ΔE_f (raw), eV/f.u.: -5.16
Raw total energy, eV per atom: -3.8901

Unit cell a=4.310 b=8.673 c=12.115 alpha=96.86 beta=90.00 gamma=90.00
Fractional positions:
P  0.750  0.142  0.634
P  0.250  0.858  0.366
Pb  0.750  0.630  0.364
Pb  0.250  0.370  0.636
Pb  0.750  0.090  0.388
Pb  0.250  0.836  0.124
Pb  0.250  0.910  0.612
Pb  0.750  0.164  0.876
Cl  0.250  0.932  0.869
Cl  0.750  0.068  0.131
Cl  0.250  0.356  0.391
Cl  0.750  0.608  0.122
Cl  0.750  0.644  0.609
Cl  0.250  0.392  0.878

A relaxed PPb4Cl5 crystal. Source: Alexandria via LeMat-Bulk, functional PBE.

Calculated values
Volume, Å³/cell: 328
Space group: C2/m (12)
Total moment, μB per atom: 0.0000
ΔE_f (raw), eV/f.u.: -8.51
Raw total energy, eV per atom: -3.7987

Unit cell a=4.354 b=8.465 c=9.734 alpha=109.72 beta=102.92 gamma=90.00
Fractional positions:
Cl  0.164  0.892  0.327
Cl  0.836  0.108  0.673
Cl  0.165  0.359  0.329
Cl  0.500  0.500  0.000
Cl  0.835  0.641  0.671
Pb  0.001  0.243  0.003
Pb  0.999  0.757  0.997
Pb  0.338  0.872  0.675
Pb  0.662  0.128  0.325
P  0.500  0.000  0.000

A relaxed PPbCl crystal. Source: Alexandria via LeMat-Bulk, functional PBE.

Calculated values
Volume, Å³/cell: 88
Space group: I4mm (107)
E above lowest polymorph, meV per atom: 279
Total moment, μB per atom: 0.0000
DOS at the Fermi energy, states/eV per cell: 0.7
ΔE_f (raw), eV/f.u.: -0.13
Raw total energy, eV per atom: -3.6985

Unit cell a=5.931 b=5.931 c=5.931 alpha=139.19 beta=139.12 gamma=59.14
Fractional positions:
P  0.255  0.255  0.000
Cl  0.041  0.041  0.000
Pb  0.704  0.704  0.000

A relaxed PPbCl crystal. Source: Alexandria via LeMat-Bulk, functional PBE.

Calculated values
Volume, Å³/cell: 170
Space group: C2/m (12)
E above lowest polymorph, meV per atom: 0
Total moment, μB per atom: 0.0000
DOS at the Fermi energy, states/eV per cell: 1.1
ΔE_f (raw), eV/f.u.: -0.97
Raw total energy, eV per atom: -3.9778

Unit cell a=4.195 b=3.944 c=12.142 alpha=90.70 beta=90.00 gamma=122.13
Fractional positions:
P  0.136  0.272  0.046
P  0.864  0.728  0.954
Cl  0.829  0.657  0.638
Cl  0.171  0.343  0.362
Pb  0.202  0.405  0.783
Pb  0.798  0.595  0.217

A relaxed PPbCl crystal. Source: Alexandria via LeMat-Bulk, functional PBE.

Calculated values
Volume, Å³/cell: 77
Space group: F-43m (216)
E above lowest polymorph, meV per atom: 458
Total moment, μB per atom: 0.0000
DOS at the Fermi energy, states/eV per cell: 1.9
ΔE_f (raw), eV/f.u.: 0.41
Raw total energy, eV per atom: -3.5194

Unit cell a=4.774 b=4.774 c=4.774 alpha=60.00 beta=60.00 gamma=60.00
Fractional positions:
Cl  0.500  0.500  0.500
P  0.750  0.750  0.750
Pb  0.000  0.000  0.000

A relaxed PPbCl crystal. Source: Alexandria via LeMat-Bulk, functional PBE.

Calculated values
Volume, Å³/cell: 84
Space group: P3m1 (156)
E above lowest polymorph, meV per atom: 343
Total moment, μB per atom: 0.0000
DOS at the Fermi energy, states/eV per cell: 0.0
ΔE_f (raw), eV/f.u.: 0.06
Raw total energy, eV per atom: -3.6346

Unit cell a=4.134 b=4.134 c=5.682 alpha=90.00 beta=90.00 gamma=120.00
Fractional positions:
Pb  0.333  0.667  0.620
Cl  0.000  0.000  0.962
P  0.667  0.333  0.418